Be3V2Fe: optimized geometry, PBE-GGA.

Geometry as CIF:
```
data_Be3V2Fe
_chemical_formula_sum 'Be9 V6 Fe3'
_space_group_name_H-M_alt 'R -3 m'
_space_group_IT_number 166
_space_group_name_Hall '-R 3 2"'
_cell_length_a 4.3839
_cell_length_b 4.3839
_cell_length_c 10.8925
_cell_angle_alpha 90.00
_cell_angle_beta 90.00
_cell_angle_gamma 120.00
loop_
_atom_site_label
_atom_site_fract_x
_atom_site_fract_y
_atom_site_fract_z
Be1 0.0000 0.5000 0.0000
V1 0.0000 0.0000 0.1248
Fe1 0.0000 0.0000 0.5000
```

## Properties
calculated total energy: -6.522 eV/atom
density of states at the Fermi level: 0.781 states/eV/atom
magnetization: 0.000 μB per atom
energy of formation: -121 kJ/mol of formula units

BeVFe: optimized geometry, PBE-GGA.

Geometry as CIF:
```
data_BeVFe
_chemical_formula_sum 'Be2 V2 Fe2'
_space_group_name_H-M_alt 'I 4 m m'
_space_group_IT_number 107
_space_group_name_Hall 'I 4 -2'
_cell_length_a 2.8662
_cell_length_b 2.8662
_cell_length_c 7.7334
_cell_angle_alpha 90.00
_cell_angle_beta 90.00
_cell_angle_gamma 90.00
loop_
_atom_site_label
_atom_site_fract_x
_atom_site_fract_y
_atom_site_fract_z
Be1 0.0000 0.0000 0.0000
V1 0.0000 0.0000 0.3215
Fe1 0.0000 0.0000 0.6530
```

## Properties
calculated total energy: -7.245 eV/atom
density of states at the Fermi level: 0.700 states/eV/atom
magnetization: 0.322 μB per atom
excess energy over the best structure of this formula in the dataset: 0.0000 eV/atom
energy of formation: -41 kJ/mol of formula units

Be2VFe: optimized geometry, PBE-GGA.

Geometry as CIF:
```
data_Be2VFe
_chemical_formula_sum 'Be2 V1 Fe1'
_space_group_name_H-M_alt 'P 4/m m m'
_space_group_IT_number 123
_space_group_name_Hall '-P 4 2'
_cell_length_a 2.5077
_cell_length_b 2.5077
_cell_length_c 6.4489
_cell_angle_alpha 90.00
_cell_angle_beta 90.00
_cell_angle_gamma 90.00
loop_
_atom_site_label
_atom_site_fract_x
_atom_site_fract_y
_atom_site_fract_z
Be1 0.0000 0.0000 0.2318
V1 0.5000 0.5000 0.5000
Fe1 0.5000 0.5000 0.0000
```

## Properties
calculated total energy: -6.358 eV/atom
density of states at the Fermi level: 0.486 states/eV/atom
magnetization: 0.520 μB per atom
excess energy over the best structure of this formula in the dataset: 0.0000 eV/atom
energy of formation: -38 kJ/mol of formula units

BeV2Fe: optimized geometry, PBE-GGA.

Geometry as CIF:
```
data_BeV2Fe
_chemical_formula_sum 'Be1 V2 Fe1'
_space_group_name_H-M_alt 'P 4/m m m'
_space_group_IT_number 123
_space_group_name_Hall '-P 4 2'
_cell_length_a 2.9370
_cell_length_b 2.9370
_cell_length_c 5.2868
_cell_angle_alpha 90.00
_cell_angle_beta 90.00
_cell_angle_gamma 90.00
loop_
_atom_site_label
_atom_site_fract_x
_atom_site_fract_y
_atom_site_fract_z
Be1 0.0000 0.0000 0.0000
V1 0.5000 0.5000 0.2427
Fe1 0.0000 0.0000 0.5000
```

## Properties
calculated total energy: -7.652 eV/atom
density of states at the Fermi level: 1.085 states/eV/atom
magnetization: 0.219 μB per atom
energy of formation: -17 kJ/mol of formula units

Be3VFe: optimized geometry, PBE-GGA.

Geometry as CIF:
```
data_Be3VFe
_chemical_formula_sum 'Be3 V1 Fe1'
_space_group_name_H-M_alt 'P m -3 m'
_space_group_IT_number 221
_space_group_name_Hall '-P 4 2 3'
_cell_length_a 4.0777
_cell_length_b 4.0777
_cell_length_c 4.0777
_cell_angle_alpha 90.00
_cell_angle_beta 90.00
_cell_angle_gamma 90.00
loop_
_atom_site_label
_atom_site_fract_x
_atom_site_fract_y
_atom_site_fract_z
Be1 0.0000 0.0000 0.5000
V1 0.0000 0.0000 0.0000
Fe1 0.5000 0.5000 0.5000
```

## Properties
calculated total energy: -4.217 eV/atom
density of states at the Fermi level: 0.865 states/eV/atom
magnetization: 0.532 μB per atom
excess energy over the best structure of this formula in the dataset: 0.9549 eV/atom
energy of formation: 741 kJ/mol of formula units

Be2VFe2: optimized geometry, PBE-GGA.

Geometry as CIF:
```
data_Be2VFe2
_chemical_formula_sum 'Be4 V2 Fe4'
_space_group_name_H-M_alt 'P 4/m b m'
_space_group_IT_number 127
_space_group_name_Hall '-P 4 2ab'
_cell_length_a 6.1235
_cell_length_b 6.1235
_cell_length_c 2.6710
_cell_angle_alpha 90.00
_cell_angle_beta 90.00
_cell_angle_gamma 90.00
loop_
_atom_site_label
_atom_site_fract_x
_atom_site_fract_y
_atom_site_fract_z
Be1 0.1397 0.3603 0.0000
V1 0.0000 0.0000 0.5000
Fe1 0.1538 0.6538 0.5000
```

## Properties
calculated total energy: -6.682 eV/atom
density of states at the Fermi level: 0.693 states/eV/atom
magnetization: 0.067 μB per atom
excess energy over the best structure of this formula in the dataset: 0.1686 eV/atom
energy of formation: 8 kJ/mol of formula units

BeV2Fe: optimized geometry, PBE-GGA.

Geometry as CIF:
```
data_BeV2Fe
_chemical_formula_sum 'Be1 V2 Fe1'
_space_group_name_H-M_alt 'P 4/m m m'
_space_group_IT_number 123
_space_group_name_Hall '-P 4 2'
_cell_length_a 3.6244
_cell_length_b 3.6244
_cell_length_c 3.4274
_cell_angle_alpha 90.00
_cell_angle_beta 90.00
_cell_angle_gamma 90.00
loop_
_atom_site_label
_atom_site_fract_x
_atom_site_fract_y
_atom_site_fract_z
Be1 0.0000 0.0000 0.0000
V1 0.0000 0.5000 0.5000
Fe1 0.5000 0.5000 0.0000
```

## Properties
calculated total energy: -7.673 eV/atom
density of states at the Fermi level: 1.100 states/eV/atom
magnetization: 0.001 μB per atom
energy of formation: -25 kJ/mol of formula units

BeVFe: optimized geometry, PBE-GGA.

Geometry as CIF:
```
data_BeVFe
_chemical_formula_sum 'Be1 V1 Fe1'
_space_group_name_H-M_alt 'P -1'
_space_group_IT_number 2
_cell_length_a 2.8865
_cell_length_b 2.8873
_cell_length_c 4.6172
_cell_angle_alpha 106.59
_cell_angle_beta 106.92
_cell_angle_gamma 93.60
loop_
_space_group_symop_operation_xyz
'x,y,z'
'-x,-y,-z'
loop_
_atom_site_label
_atom_site_fract_x
_atom_site_fract_y
_atom_site_fract_z
Be1 0.0000 0.0000 0.0000
V1 0.5000 0.0000 0.5000
Fe1 0.5000 0.5000 0.0000
```

## Properties
calculated total energy: -6.602 eV/atom
density of states at the Fermi level: 1.218 states/eV/atom
magnetization: 0.001 μB per atom
excess energy over the best structure of this formula in the dataset: 0.6436 eV/atom
energy of formation: 145 kJ/mol of formula units